1.
Ba2AcReO6 | OQMD | PBE | optimized geometry; crystal system = tetragonal; space group = I4/m (87)
1.0
-3.0436 3.0436 4.4171
3.0436 -3.0436 4.4171
3.0436 3.0436 -4.4171
O Ba Re Ac
6 2 1 1
Direct
0.7273 0.7273 0.0000
0.2224 0.3319 0.5543
0.6681 0.2224 0.8905
0.2727 0.2727 0.0000
0.3319 0.7776 0.1095
0.7776 0.6681 0.4457
0.2500 0.7500 0.5000
0.7500 0.2500 0.5000
0.5000 0.5000 0.0000
0.0000 0.0000 0.0000



2.
Ba2AcReO6 | OQMD | PBE | optimized geometry; crystal system = monoclinic; space group = C2/m (12)
1.0
2.0046 5.2258 -2.4285
-2.5228 5.3007 1.6621
3.5775 -3.1290 4.0168
O Re Ba Ac
6 1 2 1
Direct
0.7226 0.7226 0.7927
0.2331 0.6900 0.6840
0.2774 0.2774 0.2073
0.6900 0.2331 0.6840
0.7669 0.3100 0.3160
0.3100 0.7669 0.3160
0.5000 0.5000 0.5000
0.2460 0.2460 0.7393
0.7540 0.7540 0.2607
0.0000 0.0000 0.0000



3.
BaAcPm | OQMD | PBE | optimized geometry; polymorph energy (0 for the lowest one) = 0 meV per atom; crystal system = cubic; space group = F-43m (216)
1.0
-1.4633 -1.4645 5.7185
-0.7167 4.3691 4.1695
-5.5464 1.2787 2.1421
Ac Ba Pm
1 1 1
Direct
0.2500 0.2500 0.2500
0.7500 0.7500 0.7500
0.0000 0.0000 0.0000



4.
BaAcPu | OQMD | PBE | optimized geometry; polymorph energy (0 for the lowest one) = 0 meV per atom; crystal system = cubic; space group = F-43m (216)
1.0
-5.7912 -1.4721 0.5250
-4.1028 4.2662 0.9733
-3.8752 1.4788 -4.3332
Pu Ac Ba
1 1 1
Direct
0.2500 0.2500 0.2500
0.0000 0.0000 0.0000
0.5000 0.5000 0.5000



5.
BaAcRe | OQMD | PBE | optimized geometry; polymorph energy (0 for the lowest one) = 0 meV per atom; crystal system = cubic; space group = F-43m (216)
1.0
0.0000 3.7270 3.7270
3.7270 0.0000 3.7270
3.7270 3.7270 0.0000
Re Ba Ac
1 1 1
Direct
0.7500 0.7500 0.7500
0.2500 0.2500 0.2500
0.0000 0.0000 0.0000



6.
BaAcSm | OQMD | PBE | optimized geometry; polymorph energy (0 for the lowest one) = 0 meV per atom; crystal system = cubic; space group = F-43m (216)
1.0
1.5864 -5.6301 1.6742
-1.7672 -2.1801 5.3983
-4.2044 -4.3889 0.2798
Sm Ac Ba
1 1 1
Direct
0.0000 0.0000 0.0000
0.2500 0.2500 0.2500
0.7500 0.7500 0.7500



Number 1: volume 164 Å³ per cell, total DFT energy (no corrections) -74.84 eV/cell. Number 2: volume 164 Å³ per cell, total DFT energy (no corrections) -74.86 eV/cell. Number 3: volume 159 Å³ per cell, total DFT energy (no corrections) -8.72 eV/cell. Number 4: volume 153 Å³ per cell, total DFT energy (no corrections) -17.75 eV/cell. Number 5: volume 104 Å³ per cell, total DFT energy (no corrections) -13.73 eV/cell. Number 6: volume 159 Å³ per cell, total DFT energy (no corrections) -8.69 eV/cell.